# 1
An optimized crystal structure of Fe2CuTc, computed with GGA-PBE.

Results
Its energy is -7.6701 eV/atom. Its space-group type is Pm (6). As for the energy of formation: 177 meV per atom. The calculation puts the spin magnetization at 1.112 μB per atom.

Unit cell a=2.4991 b=4.0708 c=5.0488 alpha=90.00 beta=103.22 gamma=90.00
Closest atoms and distances in Å follow each position.
Atoms (fractional coordinates):
Fe 0.0000 0.0000 0.0000  4 Fe 2.48-2.50, 2 Tc 2.55, 2 Cu 2.55-2.57
Fe 0.1737 0.5000 0.7534  4 Fe 2.48-2.50, 2 Cu 2.50, 2 Tc 2.55
Cu 0.4088 0.0000 0.5157  2 Cu 2.50, 4 Fe 2.50-2.57, 4 Tc 2.68-2.79
Tc 0.7340 0.5000 0.2448  2 Tc 2.50, 4 Fe 2.55, 4 Cu 2.68-2.79

***

# 2
An optimized crystal structure of Fe2CuTc, computed with GGA-PBE.

Results
Its energy is -7.6133 eV/atom. Its space-group type is Imm2 (44). As for the energy of formation: 234 meV per atom. The calculation puts the spin magnetization at 1.038 μB per atom.

Unit cell a=2.8668 b=4.1861 c=8.3160 alpha=90.00 beta=90.00 gamma=90.00
Closest atoms and distances in Å follow each position.
Atoms (fractional coordinates):
Fe 0.0000 0.0000 0.0000  2 Fe 2.38, 2 Tc 2.51, 4 Cu 2.54
Fe 0.0000 0.5000 0.2712  2 Fe 2.38, 2 Cu 2.53, 4 Tc 2.54
Fe 0.5000 0.0000 0.7712  2 Fe 2.38, 2 Cu 2.53, 4 Tc 2.54
Fe 0.5000 0.5000 0.5000  2 Fe 2.38, 2 Tc 2.51, 4 Cu 2.54
Cu 0.0000 0.0000 0.5204  6 Fe 2.53-2.54, 4 Tc 2.69-2.82
Cu 0.5000 0.5000 0.0204  6 Fe 2.53-2.54, 4 Tc 2.69-2.82
Tc 0.0000 0.5000 0.7472  6 Fe 2.51-2.54, 2 Cu 2.69
Tc 0.5000 0.0000 0.2472  6 Fe 2.51-2.54, 2 Cu 2.69

***

# 3
An optimized crystal structure of Fe2CuTc, computed with GGA-PBE.

Results
Its energy is -7.6347 eV/atom. Its space-group type is P4/mmm (123). As for the energy of formation: 212 meV per atom. The calculation puts the spin magnetization at 1.224 μB per atom.

Unit cell a=3.0297 b=3.0297 c=5.4666 alpha=90.00 beta=90.00 gamma=90.00
Closest atoms and distances in Å follow each position.
Atoms (fractional coordinates):
Fe 0.0000 0.0000 0.2383  4 Cu 2.51, 4 Tc 2.58, 1 Fe 2.61
Fe 0.0000 0.0000 0.7617  4 Cu 2.51, 4 Tc 2.58, 1 Fe 2.61
Cu 0.5000 0.5000 0.0000  8 Fe 2.51, 2 Tc 2.73
Tc 0.5000 0.5000 0.5000  8 Fe 2.58, 2 Cu 2.73

***

# 4
An optimized crystal structure of Fe2CuTc, computed with GGA-PBE.

Results
Its energy is -7.6532 eV/atom. Its space-group type is Cm (8). As for the energy of formation: 194 meV per atom. The calculation puts the spin magnetization at 0.995 μB per atom.

Unit cell a=8.5612 b=2.5832 c=4.5509 alpha=90.00 beta=99.69 gamma=90.00
Closest atoms and distances in Å follow each position.
Atoms (fractional coordinates):
Fe 0.0000 0.0000 0.0000  3 Tc 2.54-2.58, 5 Fe 2.57-2.66, 4 Cu 2.58-2.65
Fe 0.2442 0.5000 0.2610  3 Cu 2.53-2.56, 5 Fe 2.57-2.66, 4 Tc 2.60-2.63
Fe 0.5000 0.5000 0.0000  3 Tc 2.54-2.58, 5 Fe 2.57-2.66, 4 Cu 2.58-2.65
Fe 0.7442 0.0000 0.2610  3 Cu 2.53-2.56, 5 Fe 2.57-2.66, 4 Tc 2.60-2.63
Cu 0.4941 0.0000 0.4894  7 Fe 2.53-2.65, 2 Cu 2.58, 3 Tc 2.62-2.66
Cu 0.9941 0.5000 0.4894  7 Fe 2.53-2.65, 2 Cu 2.58, 3 Tc 2.62-2.66
Tc 0.2490 0.0000 0.7661  7 Fe 2.54-2.63, 2 Tc 2.58, 3 Cu 2.62-2.66
Tc 0.7490 0.5000 0.7661  7 Fe 2.54-2.63, 2 Tc 2.58, 3 Cu 2.62-2.66

***

# 5
An optimized crystal structure of Fe2CuTc, computed with GGA-PBE.

Results
Its energy is -7.6940 eV/atom. Its space-group type is Cmm2 (35). As for the energy of formation: 153 meV per atom. The calculation puts the spin magnetization at 1.236 μB per atom.

Unit cell a=3.1001 b=4.0064 c=8.1530 alpha=90.00 beta=90.00 gamma=90.00
Closest atoms and distances in Å follow each position.
Atoms (fractional coordinates):
Fe 0.0000 0.0000 0.0000  6 Fe 2.46-2.53, 2 Cu 2.52
Fe 0.0000 0.5000 0.2348  6 Fe 2.46-2.53, 2 Tc 2.60
Fe 0.5000 0.0000 0.2348  6 Fe 2.46-2.53, 2 Tc 2.60
Fe 0.5000 0.5000 0.0000  6 Fe 2.46-2.53, 2 Cu 2.52
Cu 0.0000 0.5000 0.7567  4 Fe 2.52-2.82, 4 Cu 2.53, 2 Tc 2.67
Cu 0.5000 0.0000 0.7567  4 Fe 2.52-2.82, 4 Cu 2.53, 2 Tc 2.67
Tc 0.0000 0.0000 0.4907  4 Tc 2.53, 2 Fe 2.60, 2 Cu 2.67
Tc 0.5000 0.5000 0.4907  4 Tc 2.53, 2 Fe 2.60, 2 Cu 2.67

***

# 6
An optimized crystal structure of Fe2CuTc, computed with GGA-PBE.

Results
Its energy is -7.6496 eV/atom. Its space-group type is R3m (160). As for the energy of formation: 197 meV per atom. The calculation puts the spin magnetization at 0.868 μB per atom.

Unit cell a=2.6175 b=2.6175 c=25.3340 alpha=90.00 beta=90.00 gamma=120.00
Closest atoms and distances in Å follow each position.
Atoms (fractional coordinates):
Fe 0.0000 0.0000 0.0000  9 Fe 2.54-2.62, 3 Cu 2.58
Fe 0.0000 0.0000 0.2526  3 Tc 2.52, 9 Fe 2.54-2.62
Fe 0.3333 0.6667 0.6667  9 Fe 2.54-2.62, 3 Cu 2.58
Fe 0.3333 0.6667 0.9193  3 Tc 2.52, 9 Fe 2.54-2.62
Fe 0.6667 0.3333 0.3333  9 Fe 2.54-2.62, 3 Cu 2.58
Fe 0.6667 0.3333 0.5860  3 Tc 2.52, 9 Fe 2.54-2.62
Cu 0.0000 0.0000 0.7492  3 Fe 2.58, 6 Cu 2.62, 3 Tc 2.74
Cu 0.3333 0.6667 0.4158  3 Fe 2.58, 6 Cu 2.62, 3 Tc 2.74
Cu 0.6667 0.3333 0.0825  3 Fe 2.58, 6 Cu 2.62, 3 Tc 2.74
Tc 0.0000 0.0000 0.5061  3 Fe 2.52, 6 Tc 2.62, 3 Cu 2.74
Tc 0.3333 0.6667 0.1728  3 Fe 2.52, 6 Tc 2.62, 3 Cu 2.74
Tc 0.6667 0.3333 0.8395  3 Fe 2.52, 6 Tc 2.62, 3 Cu 2.74

***

# 7
An optimized crystal structure of Fe2CuTc, computed with GGA-PBE.

Results
Its energy is -7.6397 eV/atom. Its space-group type is Cmmm (65). As for the energy of formation: 207 meV per atom. The calculation puts the spin magnetization at 1.041 μB per atom.

Unit cell a=5.1798 b=7.4289 c=2.5883 alpha=90.00 beta=90.00 gamma=90.00
Closest atoms and distances in Å follow each position.
Atoms (fractional coordinates):
Fe 0.2500 0.2500 0.0000  4 Fe 2.59, 4 Tc 2.61, 4 Cu 2.61
Fe 0.2500 0.7500 0.0000  4 Fe 2.59, 4 Tc 2.61, 4 Cu 2.61
Fe 0.7500 0.2500 0.0000  4 Fe 2.59, 4 Tc 2.61, 4 Cu 2.61
Fe 0.7500 0.7500 0.0000  4 Fe 2.59, 4 Tc 2.61, 4 Cu 2.61
Cu 0.0000 0.0000 0.5000  2 Cu 2.59, 2 Tc 2.59, 8 Fe 2.61
Cu 0.5000 0.5000 0.5000  2 Cu 2.59, 2 Tc 2.59, 8 Fe 2.61
Tc 0.0000 0.5000 0.5000  2 Tc 2.59, 2 Cu 2.59, 8 Fe 2.61
Tc 0.5000 0.0000 0.5000  2 Tc 2.59, 2 Cu 2.59, 8 Fe 2.61

***

# 8
An optimized crystal structure of Fe2CuTc, computed with GGA-PBE.

Results
Its energy is -7.5718 eV/atom. Its space-group type is P4/mmm (123). As for the energy of formation: 275 meV per atom. The calculation puts the spin magnetization at 1.352 μB per atom.

Unit cell a=4.2787 b=4.2787 c=2.7894 alpha=90.00 beta=90.00 gamma=90.00
Closest atoms and distances in Å follow each position.
Atoms (fractional coordinates):
Fe 0.0000 0.5000 0.0000  4 Tc 2.55, 4 Cu 2.55, 2 Fe 2.79
Fe 0.5000 0.0000 0.0000  4 Tc 2.55, 4 Cu 2.55, 2 Fe 2.79
Cu 0.0000 0.0000 0.5000  8 Fe 2.55, 2 Cu 2.79
Tc 0.5000 0.5000 0.5000  8 Fe 2.55, 2 Tc 2.79